Crystalline CaZn2Ag at its relaxed geometry. Source: Alexandria, functional PBEsol.

a b c (Å): 4.3896 4.3896 5.5127
angles (deg): 66.54 66.54 60.00
Closest atoms and distances in Å follow each position.
Fractional coordinates of all 4 atoms:
Ag: 0.5439 0.5439 0.3684  6 Zn 2.64-2.76
Ca: 0.7477 0.7477 0.7568  4 Ag 2.99-3.17, 4 Zn 3.00-3.17
Zn: 0.9517 0.9517 0.1448  3 Zn 2.56, 3 Ag 2.76
Zn: 0.2598 0.2598 0.2205  3 Zn 2.56, 3 Ag 2.64

Values from the calculation:
Uncorrected energy   -2.346 eV/atom
Volume   20.4 Å³/atom
ΔE_f   -0.194 eV/atom
SG   R3m